Th5CdFe: relaxed, GGA-PBE.

abc: 4.7416 4.9776 8.3751
angles: 90.00 90.00 90.00
Element x y z (fractional)
Cd1 0.0000 0.0000 0.5000
Th1 0.0000 0.5000 0.2001
Th2 0.5000 0.0000 0.1985
Th3 0.0000 0.5000 0.7999
Th4 0.5000 0.5000 0.5000
Fe1 0.5000 0.5000 0.0000
Th5 0.5000 0.0000 0.8015

## Properties
formation energy = 0.0948 eV/atom
magnetization = 0.00 μB per cell
SG = No. 47
energy = -0.24052 Ha/atom